The following is a DFT calculation (GGA-PBE) of crystalline Li2AgPt at its relaxed geometry. Values from VASP.

The crystal system is monoclinic. Its energy relative to the elements is -0.360 eV per atom. The value obtained for the density of states at the Fermi level is 1.41 states/eV/f.u. The total energy comes out at -0.2602 Ry per atom.

Quantum ESPRESSO input file:
```
&SYSTEM
  ibrav = 0, nat = 4, ntyp = 3
/
ATOMIC_SPECIES
Li 6.94 Li.upf
Ag 107.87 Ag.upf
Pt 195.08 Pt.upf
CELL_PARAMETERS angstrom
4.3221 -1.4288 0.0000
4.3221 1.4288 0.0000
-0.9250 0.0000 4.8853
ATOMIC_POSITIONS crystal
Li 0.2452 0.2452 0.2286
Li 0.7548 0.7548 0.7714
Ag 0.0000 0.0000 0.5000
Pt 0.5000 0.5000 0.0000
```